Entry 1:
PuMgOsRh after structural relaxation, computed with PBE-GGA.

Geometry as POSCAR:
```
PuMgOsRh
1.0
-1.548 3.659 -2.358
-3.858 -0.338 -2.519
-3.846 2.167 1.362
Rh Mg Os Pu
1 1 1 1
direct
0.750 0.750 0.750 Rh
0.000 0.000 0.000 Mg
0.250 0.250 0.250 Os
0.500 0.500 0.500 Pu
```

The symmetry is F-43m (216). The formation energy comes out at -0.80 eV per formula unit. The total moment comes out at 3.81 μB/f.u.

Entry 2:
HoTmTlAg after structural relaxation, computed with PBE-GGA.

Geometry as POSCAR:
```
HoTmTlAg
1.0
-1.278 -5.024 -0.591
3.699 -3.526 -1.054
1.387 -3.489 3.624
Tl Tm Ho Ag
1 1 1 1
direct
0.750 0.750 0.750 Tl
0.500 0.500 0.500 Tm
0.000 0.000 0.000 Ho
0.250 0.250 0.250 Ag
```

The symmetry is F-43m (216). The formation energy comes out at -1.33 eV per formula unit. The total moment comes out at 0.00 μB/f.u.

Entry 3:
Hg3PtI after structural relaxation, computed with PBE-GGA.

Geometry as POSCAR:
```
Hg3PtI
1.0
-2.894 3.784 2.421
-1.757 -3.604 3.533
4.134 1.117 3.196
I Hg Pt
1 3 1
direct
0.500 0.500 0.500 I
0.000 0.500 0.000 Hg
0.000 0.000 0.500 Hg
0.500 0.000 0.000 Hg
0.000 0.000 0.000 Pt
```

The symmetry is Pm-3m (221). The energy above the most stable polymorph in this dataset is 0.0000 eV/atom. The formation energy (no corrections) is -0.04 eV per atom. The total moment comes out at 0.00 μB/f.u.

Number 2 is which compound?
HoTmTlAg